# NaSbBr6 GGA-PBE optimized geometry
data_NaSbBr6
_symmetry_space_group_name_H-M 'P 1'
_symmetry_Int_Tables_number 1
_cell_length_a 7.035
_cell_length_b 7.036
_cell_length_c 7.606
_cell_angle_alpha 62.46
_cell_angle_beta 62.51
_cell_angle_gamma 60.04
loop_
_symmetry_equiv_pos_as_xyz
'x,y,z'
loop_
_atom_site_label
_atom_site_fract_x
_atom_site_fract_y
_atom_site_fract_z
Na1 0.000 0.000 0.000
Sb1 0.500 0.500 0.500
Br1 0.105 0.709 0.733
Br2 0.290 0.547 0.267
Br3 0.454 0.104 0.733
Br4 0.546 0.896 0.267
Br5 0.710 0.453 0.733
Br6 0.895 0.291 0.267
# **M_tot**: 0.00 μB per formula unit
# **Space-group type**: No. 2
# **Electronic total energy**: -20.5 eV/cell
# **Uncorrected formation energy**: -486.1 kJ/mol of formula units


# KNa2 GGA-PBE optimized geometry
data_KNa2
_symmetry_space_group_name_H-M 'P 1'
_symmetry_Int_Tables_number 1
_cell_length_a 7.377
_cell_length_b 7.377
_cell_length_c 12.133
_cell_angle_alpha 90.00
_cell_angle_beta 90.00
_cell_angle_gamma 120.00
loop_
_symmetry_equiv_pos_as_xyz
'x,y,z'
loop_
_atom_site_label
_atom_site_fract_x
_atom_site_fract_y
_atom_site_fract_z
K1 0.333 0.667 0.063
K2 0.333 0.667 0.437
K3 0.667 0.333 0.563
K4 0.667 0.333 0.937
Na1 0.000 0.000 0.000
Na2 0.000 0.000 0.500
Na3 0.167 0.334 0.750
Na4 0.167 0.833 0.750
Na5 0.334 0.167 0.250
Na6 0.666 0.833 0.750
Na7 0.833 0.167 0.250
Na8 0.833 0.666 0.250
# **M_tot**: 0.00 μB per formula unit
# **Space-group type**: No. 194
# **Electronic total energy**: -15.0 eV/cell
# **E_form**: -3.2 meV per atom


# CrNiSnS3 GGA-PBE optimized geometry
data_CrNiSnS3
_symmetry_space_group_name_H-M 'P 1'
_symmetry_Int_Tables_number 1
_cell_length_a 7.121
_cell_length_b 3.568
_cell_length_c 8.962
_cell_angle_alpha 90.00
_cell_angle_beta 108.41
_cell_angle_gamma 90.00
loop_
_symmetry_equiv_pos_as_xyz
'x,y,z'
loop_
_atom_site_label
_atom_site_fract_x
_atom_site_fract_y
_atom_site_fract_z
Cr1 0.183 0.250 0.158
Cr2 0.817 0.750 0.842
Ni1 0.427 0.750 0.389
Ni2 0.573 0.250 0.611
Sn1 0.275 0.750 0.706
Sn2 0.725 0.250 0.294
S1 0.055 0.250 0.873
S2 0.254 0.250 0.435
S3 0.410 0.750 0.138
S4 0.590 0.250 0.862
S5 0.746 0.750 0.565
S6 0.945 0.750 0.127
# **M_tot**: 2.17 μB per formula unit
# **Space-group type**: No. 11
# **Electronic total energy**: -68.8 eV/cell
# **Uncorrected formation energy**: -253.1 kJ/mol of formula units